(1)
LiBrCl2 | PBE | relaxed

Structure (POSCAR):
```
LiBrCl2
1.0
-3.623 -4.631 3.590
-3.406 -1.770 -5.721
-0.384 -6.342 -1.957
Li Br Cl
2 2 4
direct
0.500 0.500 0.000
0.250 0.750 0.500
0.000 0.000 0.000
0.750 0.250 0.500
0.554 0.125 0.250
0.196 0.625 0.250
0.375 0.446 0.750
0.875 0.804 0.750
```

## Properties
symmetry = No. 122

(2)
Li6Br5Cl | PBE | relaxed

Structure (POSCAR):
```
Li6Br5Cl
1.0
6.608 0.165 1.006
1.628 5.596 3.263
0.114 0.056 6.682
Cl Br Li
1 5 6
direct
0.000 0.000 0.000
0.500 0.166 0.668
0.000 0.333 0.334
0.500 0.500 0.000
0.000 0.667 0.666
0.500 0.834 0.332
0.755 0.082 0.321
0.245 0.597 0.321
0.244 0.241 0.000
0.756 0.759 0.000
0.755 0.403 0.679
0.245 0.918 0.679
```

## Properties
symmetry = No. 12

(3)
Li3BrCl2 | PBE | relaxed

Structure (POSCAR):
```
Li3BrCl2
1.0
6.433 0.189 0.325
-1.254 6.352 -0.234
-1.254 -3.352 5.401
Li Br Cl
6 2 4
direct
0.001 0.144 0.322
0.501 0.322 0.144
0.000 0.500 0.000
0.999 0.856 0.678
0.500 0.000 0.500
0.499 0.678 0.856
0.250 0.583 0.417
0.750 0.417 0.583
0.250 0.916 0.084
0.250 0.248 0.752
0.750 0.084 0.916
0.750 0.752 0.248
```

## Properties
symmetry = No. 15

(4)
LiBrCl2 | PBE | relaxed

Structure (POSCAR):
```
LiBrCl2
1.0
4.035 0.000 0.000
0.000 5.204 0.456
0.000 4.239 5.324
Br Cl Li
1 2 1
direct
0.500 0.750 0.750
0.000 0.025 0.109
0.000 0.475 0.391
0.500 0.250 0.250
```

## Properties
symmetry = No. 10

(5)
LiBr2Cl | PBE | relaxed

Structure (POSCAR):
```
LiBr2Cl
1.0
-4.276 3.962 4.416
-3.095 -3.078 -0.235
0.016 -3.507 3.162
Br Cl Li
2 1 1
direct
0.000 0.986 0.004
0.500 0.290 0.304
0.000 0.610 0.544
0.500 0.613 0.648
```

## Properties
symmetry = No. 6

(6)
LiBr2Cl | PBE | relaxed

Structure (POSCAR):
```
LiBr2Cl
1.0
-3.770 6.705 2.001
0.186 7.234 3.289
-0.813 7.873 -0.734
Li Br Cl
1 2 1
direct
0.500 0.500 0.500
0.892 0.892 0.892
0.108 0.108 0.108
0.000 0.000 0.000
```

## Properties
symmetry = No. 166

Number 1: raw formation energy -2.1 eV per formula unit. Number 2: raw formation energy -18.8 eV per formula unit. Number 3: raw formation energy -10.2 eV per formula unit. Number 4: raw formation energy -2.6 eV per formula unit. Number 5: raw formation energy -2.6 eV per formula unit. Number 6: raw formation energy -2.8 eV per formula unit.